No. 1
The following is a DFT calculation (PBE) of crystalline LiPu3Th4S8 at its relaxed geometry.

a b c (Å): 7.9487 7.9749 7.9490
angles (deg): 119.90 120.00 90.00
Fractional coordinates of all 16 atoms:
Li 0.0000 0.5000 0.0000
Pu 0.5000 0.5000 0.0000
Pu 0.5000 0.5000 0.5000
Pu 0.0000 0.5000 0.5000
Th 0.5000 0.0000 0.0000
Th 0.5000 0.0000 0.5000
Th 0.0000 0.0000 0.0000
Th 0.0000 0.0000 0.5000
S 0.2419 0.7358 0.9940
S 0.2419 0.7359 0.4838
S 0.2542 0.2627 0.5085
S 0.7521 0.7358 0.9940
S 0.2479 0.2642 0.0060
S 0.7458 0.7373 0.4915
S 0.7581 0.2641 0.5162
S 0.7581 0.2642 0.0060

## Properties
volume = 22.30 Å³/atom
space group = R-3m, No. 166
formation energy (no corrections) = -1.77 eV per atom

---

No. 2
The following is a DFT calculation (PBE) of crystalline Ca3Hg4Pb3 at its relaxed geometry.

a b c (Å): 4.0083 8.4534 8.4534
angles (deg): 87.03 90.00 90.00
Fractional coordinates of all 10 atoms:
Ca 0.5000 0.8333 0.1667
Ca 0.5000 0.3293 0.3301
Ca 0.5000 0.6699 0.6707
Hg 0.0000 0.6275 0.3725
Hg 0.0000 0.3681 0.6319
Hg 0.0000 0.8720 0.8660
Hg 0.0000 0.1340 0.1280
Pb 0.0000 0.5029 0.0027
Pb 0.0000 0.9973 0.4971
Pb 0.5000 0.1657 0.8343

## Properties
volume = 28.61 Å³/atom
formation enthalpy at 0 K = -0.35 eV/atom
space group = Amm2, No. 38

---

No. 3
The following is a DFT calculation (PBE) of crystalline CuMo2Pt at its relaxed geometry.

a b c (Å): 4.1080 2.6906 5.9926
angles (deg): 63.10 90.00 90.00
Fractional coordinates of all 4 atoms:
Cu 0.5000 0.7500 0.7500
Mo 0.0000 0.0164 0.9856
Mo 0.0000 0.4836 0.5144
Pt 0.5000 0.2500 0.2500

## Properties
volume = 14.77 Å³/atom
formation enthalpy at 0 K = -0.05 eV/atom
space group = P2/m, No. 10
relative energy among the computed polymorphs = 0.00 kJ per mole of atoms

---

No. 4
The following is a DFT calculation (PBE) of crystalline SrHgCl2 at its relaxed geometry.

a b c (Å): 8.5198 8.5198 8.4554
angles (deg): 59.75 59.75 90.00
Fractional coordinates of all 8 atoms:
Sr 0.5000 0.5000 0.0000
Sr 0.2500 0.7500 0.5000
Hg 0.0000 0.0000 0.0000
Hg 0.7500 0.2500 0.5000
Cl 0.4923 0.1250 0.2500
Cl 0.2577 0.6250 0.2500
Cl 0.3750 0.5077 0.7500
Cl 0.8750 0.7423 0.7500

## Properties
volume = 53.83 Å³/atom
space group = I-42d, No. 122
relative energy among the computed polymorphs = 12.67 kJ per mole of atoms
formation energy (no corrections) = -1.67 eV per atom

---

No. 5
The following is a DFT calculation (PBE) of crystalline LaYAs2 at its relaxed geometry.

a b c (Å): 4.2093 4.2093 7.6292
angles (deg): 73.99 73.99 60.00
Fractional coordinates of all 4 atoms:
La 0.6693 0.6693 0.9920
Y 0.4981 0.4981 0.5058
As 0.0860 0.0860 0.7421
As 0.2466 0.2466 0.2601

## Properties
volume = 27.74 Å³/atom
formation enthalpy at 0 K = -1.39 eV/atom
space group = R3m, No. 160
relative energy among the computed polymorphs = 15.58 kJ per mole of atoms

---

No. 6
The following is a DFT calculation (PBE) of crystalline CaNiPb2 at its relaxed geometry.

a b c (Å): 5.7645 5.7645 5.7645
angles (deg): 133.92 133.92 67.22
Fractional coordinates of all 4 atoms:
Pb 0.0000 0.0000 0.0000
Pb 0.2500 0.7500 0.5000
Ni 0.7500 0.2500 0.5000
Ca 0.5000 0.5000 0.0000

## Properties
volume = 24.44 Å³/atom
formation enthalpy at 0 K = 0.03 eV/atom
space group = I-4m2, No. 119